Record 1
Compound: Pu2OsRh
Source: Alexandria via LeMat-Bulk
Functional: PBE
Structure: optimized geometry

Cell lengths 3.298, 3.298, 7.238 Å; angles 90.00, 90.00, 90.00 degrees
Space group P4/mmm (No. 123)
Symmetry-distinct sites (fractional):
Pu: 0.000 0.000 0.246
Os: 0.500 0.500 0.000
Rh: 0.500 0.500 0.500

Output
Formation energy = -0.1996 eV per atom

=====

Record 2
Compound: Pu2OsRh
Source: Alexandria via LeMat-Bulk
Functional: PBE
Structure: optimized geometry

Cell lengths 2.8790, 2.8790, 30.7937 Å; angles 90.00, 90.00, 120.00 degrees
Space group R-3m (No. 166, hexagonal axes)
Symmetry-distinct sites (fractional):
Pu: 0.0000 0.0000 0.0858
Os: 0.0000 0.0000 0.0000
Rh: 0.0000 0.0000 0.5000

Output
Formation energy = 0.3168 eV per atom

=====

Record 3
Compound: Pu6Os2Rh
Source: Alexandria via LeMat-Bulk
Functional: PBE
Structure: optimized geometry

Cell lengths 7.9898, 7.9898, 2.7838 Å; angles 90.00, 90.00, 120.00 degrees
Space group P-31m (No. 162)
Symmetry-distinct sites (fractional):
Pu: 0.0000 0.3526 0.3931
Os: 0.3333 0.6667 0.0000
Rh: 0.0000 0.0000 0.5000

Output
Formation energy = 0.3152 eV per atom

=====

Record 4
Compound: PuSi4OsRh2
Source: Alexandria via LeMat-Bulk
Functional: PBE
Structure: optimized geometry

Cell lengths 4.0929, 4.0929, 25.6201 Å; angles 90.00, 90.00, 120.00 degrees
Space group R-3m (No. 166, hexagonal axes)
Symmetry-distinct sites (fractional):
Pu: 0.0000 0.0000 0.0000
Si: 0.0000 0.0000 0.1288
Si: 0.0000 0.0000 0.3988
Os: 0.0000 0.0000 0.5000
Rh: 0.0000 0.0000 0.2322

Output
Formation energy from raw total energies = -0.563 eV/atom

=====

Record 5
Compound: PuThOsRh
Source: Alexandria via LeMat-Bulk
Functional: PBE
Structure: optimized geometry

Cell lengths 6.983, 6.983, 6.983 Å; angles 90.00, 90.00, 90.00 degrees
Space group F-43m (No. 216)
Symmetry-distinct sites (fractional):
Pu: 0.000 0.000 0.000
Th: 0.000 0.000 0.500
Os: 0.250 0.250 0.750
Rh: 0.250 0.250 0.250

Output
Formation energy = -0.3161 eV per atom

=====

Record 6
Compound: TmPuOsRh
Source: Alexandria via LeMat-Bulk
Functional: PBE
Structure: optimized geometry

Cell lengths 6.773, 6.773, 6.773 Å; angles 90.00, 90.00, 90.00 degrees
Space group F-43m (No. 216)
Symmetry-distinct sites (fractional):
Tm: 0.000 0.000 0.000
Pu: 0.000 0.000 0.500
Os: 0.250 0.250 0.750
Rh: 0.250 0.250 0.250

Output
Formation energy = -0.3786 eV per atom

=====

Copy entry 4 word for word.
Compound: PuSi4OsRh2
Source: Alexandria via LeMat-Bulk
Functional: PBE
Structure: optimized geometry

Cell lengths 4.0929, 4.0929, 25.6201 Å; angles 90.00, 90.00, 120.00 degrees
Space group R-3m (No. 166, hexagonal axes)
Symmetry-distinct sites (fractional):
Pu: 0.0000 0.0000 0.0000
Si: 0.0000 0.0000 0.1288
Si: 0.0000 0.0000 0.3988
Os: 0.0000 0.0000 0.5000
Rh: 0.0000 0.0000 0.2322

Output
Formation energy from raw total energies = -0.563 eV/atom

=====

What did the third record say?
Compound: Pu6Os2Rh
Source: Alexandria via LeMat-Bulk
Functional: PBE
Structure: optimized geometry

Cell lengths 7.9898, 7.9898, 2.7838 Å; angles 90.00, 90.00, 120.00 degrees
Space group P-31m (No. 162)
Symmetry-distinct sites (fractional):
Pu: 0.0000 0.3526 0.3931
Os: 0.3333 0.6667 0.0000
Rh: 0.0000 0.0000 0.5000

Output
Formation energy = 0.3152 eV per atom